This record from the Alexandria database describes a relaxed structure of Dy6GaAg2. The functional is PBE.

Lattice parameters (Å, degrees): 8.5728 8.5728 8.5728 109.44 110.38 108.61
Positions (direct):
1 Dy 0.1971 0.2489 0.4460
2 Dy 0.7261 0.3984 0.6723
3 Dy 0.2739 0.9462 0.6723
4 Dy 0.8029 0.7511 0.5540
5 Dy 0.5611 0.7370 0.8241
6 Dy 0.2739 0.6016 0.3277
7 Dy 0.1971 0.7511 0.9482
8 Dy 0.7261 0.0538 0.3277
9 Dy 0.8029 0.2489 0.0518
10 Dy 0.9129 0.7370 0.1759
11 Dy 0.0871 0.2630 0.8241
12 Dy 0.4389 0.2630 0.1759
13 Ag 0.6448 0.0000 0.6448
14 Ag 0.5000 0.3633 0.8633
15 Ag 0.5000 0.6367 0.1367
16 Ag 0.3552 0.0000 0.3552
17 Ga 0.0000 0.5000 0.5000
18 Ga 0.0000 0.0000 0.0000

## Properties
The electronic total energy comes out at -76.840 eV per cell. As for the formation energy: -0.231 eV/atom. The volume comes out at 484.89 Å³ per cell.

=====

This record from the Alexandria database describes a relaxed structure of CrTcGe2. The functional is PBE.

Lattice parameters (Å, degrees): 4.3382 4.3382 4.3382 60.00 60.00 60.00
Positions (direct):
1 Ge 0.2500 0.2500 0.2500
2 Ge 0.7500 0.7500 0.7500
3 Tc 0.5000 0.5000 0.5000
4 Cr 0.0000 0.0000 0.0000

## Properties
The value obtained for the energy relative to the lowest polymorph listed for this composition is 0.00 eV per formula unit. The electronic total energy comes out at -29.221 eV per cell. As for the formation energy: 0.001 eV/atom. The volume comes out at 57.73 Å³ per cell.

=====

This record from the Alexandria database describes a relaxed structure of Y2Sc2Ga2O. The functional is PBE.

Lattice parameters (Å, degrees): 4.3159 4.3159 8.2954 105.08 105.08 90.00
Positions (direct):
1 Ga 0.3694 0.3694 0.7387
2 Ga 0.6306 0.6306 0.2613
3 Y 0.1697 0.1697 0.3395
4 Y 0.8303 0.8303 0.6605
5 Sc 0.5000 0.0000 0.0000
6 Sc 0.0000 0.5000 0.0000
7 O 0.0000 0.0000 0.0000

## Properties
The formation energy from raw total energies is -9.3 eV/f.u. The electronic total energy comes out at -45.872 eV per cell. The volume comes out at 143.68 Å³ per cell.

=====

This record from the Alexandria database describes a relaxed structure of HfSb2Ir. The functional is PBE.

Lattice parameters (Å, degrees): 3.3231 3.3231 9.8172 80.26 80.26 60.00
Positions (direct):
1 Ir 0.5000 0.5000 0.5000
2 Sb 0.1003 0.1003 0.6992
3 Sb 0.8997 0.8997 0.3008
4 Hf 0.0000 0.0000 0.0000

## Properties
The formation energy from raw total energies is 0.8 eV/f.u. The value obtained for the energy relative to the lowest polymorph listed for this composition is 0.67 eV per formula unit. The electronic total energy comes out at -26.289 eV per cell. The volume comes out at 92.07 Å³ per cell.

=====

This record from the Alexandria database describes a relaxed structure of CuBi4. The functional is PBE.

Lattice parameters (Å, degrees): 5.3161 5.3161 5.3161 90.00 90.00 90.00
Positions (direct):
1 Bi 0.0000 0.5000 0.5000
2 Bi 0.0000 0.0000 0.0000
3 Bi 0.5000 0.0000 0.5000
4 Bi 0.5000 0.5000 0.0000
5 Cu 0.5000 0.5000 0.5000

## Properties
The electronic total energy comes out at -17.844 eV per cell. As for the formation energy: 0.355 eV/atom. The volume comes out at 150.23 Å³ per cell.

=====

This record from the Alexandria database describes a relaxed structure of NdYGaIr. The functional is PBE.

Lattice parameters (Å, degrees): 4.1166 4.3015 5.7730 90.00 110.89 90.00
Positions (direct):
1 Ga 0.5657 0.5000 0.1315
2 Ir 0.4274 0.0000 0.8547
3 Nd 0.1447 0.0000 0.2894
4 Y 0.8622 0.5000 0.7244

## Properties
The value obtained for the energy relative to the lowest polymorph listed for this composition is 0.00 eV per formula unit. The electronic total energy comes out at -25.844 eV per cell. As for the formation energy: -0.681 eV/atom. The volume comes out at 95.51 Å³ per cell.

=====

This record from the Alexandria database describes a relaxed structure of Tc2AuCl. The functional is PBE.

Lattice parameters (Å, degrees): 4.4606 4.4606 4.4606 60.00 60.00 60.00
Positions (direct):
1 Cl 0.0000 0.0000 0.0000
2 Au 0.5000 0.5000 0.5000
3 Tc 0.2500 0.2500 0.2500
4 Tc 0.7500 0.7500 0.7500

## Properties
The formation energy from raw total energies is 3.8 eV/f.u. The value obtained for the energy relative to the lowest polymorph listed for this composition is 3.43 eV per formula unit. The electronic total energy comes out at -22.082 eV per cell. The volume comes out at 62.76 Å³ per cell.

=====

This record from the Alexandria database describes a relaxed structure of CaHoMgRu. The functional is PBE.

Lattice parameters (Å, degrees): 5.0387 5.0387 5.0387 60.00 60.00 60.00
Positions (direct):
1 Mg 0.2500 0.2500 0.2500
2 Ho 0.5000 0.5000 0.5000
3 Ca 0.0000 0.0000 0.0000
4 Ru 0.7500 0.7500 0.7500

## Properties
The electronic total energy comes out at -17.458 eV per cell. As for the formation energy: -0.002 eV/atom. The volume comes out at 90.46 Å³ per cell.

=====

This record from the Alexandria database describes a relaxed structure of CaTaAs2. The functional is PBE.

Lattice parameters (Å, degrees): 5.8533 5.8533 5.8533 140.65 140.65 56.87
Positions (direct):
1 Ca 0.5000 0.5000 0.0000
2 As 0.2500 0.7500 0.5000
3 As 0.0000 0.0000 0.0000
4 Ta 0.7500 0.2500 0.5000

## Properties
The value obtained for the energy relative to the lowest polymorph listed for this composition is 2.49 eV per formula unit. The electronic total energy comes out at -23.596 eV per cell. As for the formation energy: -0.111 eV/atom. The volume comes out at 79.96 Å³ per cell.

=====

This record from the Alexandria database describes a relaxed structure of TaTc2SnGe. The functional is PBE.

Lattice parameters (Å, degrees): 4.8359 4.8190 4.8359 90.00 90.00 90.00
Positions (direct):
1 Sn 0.0000 0.0000 0.0000
2 Ge 0.0000 0.5000 0.0000
3 Ta 0.5000 0.5000 0.5000
4 Tc 0.0000 0.0000 0.5000
5 Tc 0.5000 0.0000 0.0000

## Properties
The electronic total energy comes out at -30.789 eV per cell. As for the formation energy: 2.083 eV/atom. The volume comes out at 112.69 Å³ per cell.

=====

This record from the Alexandria database describes a relaxed structure of Rb3BF6. The functional is PBE.

Lattice parameters (Å, degrees): 6.7010 8.2213 8.2213 96.77 90.00 90.00
Positions (direct):
1 Rb 0.9992 0.6796 0.9086
2 Rb 0.4992 0.3204 0.0914
3 Rb 0.9992 0.0914 0.3204
4 Rb 0.0155 0.5875 0.4125
5 Rb 0.4992 0.9086 0.6796
6 Rb 0.5155 0.4125 0.5875
7 F 0.2595 0.6601 0.6733
8 F 0.2595 0.3267 0.3399
9 F 0.7595 0.6733 0.6601
10 F 0.5892 0.8979 0.3143
11 F 0.4952 0.9472 0.0528
12 F 0.0892 0.1021 0.6857
13 F 0.2877 0.7959 0.2041
14 F 0.5892 0.6857 0.1021
15 F 0.0892 0.3143 0.8979
16 F 0.9952 0.0528 0.9472
17 F 0.7595 0.3399 0.3267
18 F 0.7877 0.2041 0.7959
19 B 0.4911 0.8316 0.1684
20 B 0.9911 0.1684 0.8316

## Properties
The formation energy from raw total energies is -28.3 eV/f.u. The value obtained for the energy relative to the lowest polymorph listed for this composition is 0.04 eV per formula unit. The electronic total energy comes out at -98.310 eV per cell. The volume comes out at 449.76 Å³ per cell.

=====

This record from the Alexandria database describes a relaxed structure of Rb6CuF12. The functional is PBE.

Lattice parameters (Å, degrees): 7.5531 7.5531 7.5531 98.72 98.72 98.72
Positions (direct):
1 F 0.0627 0.9816 0.2513
2 F 0.0184 0.7487 0.9373
3 F 0.9373 0.0184 0.7487
4 F 0.7487 0.9373 0.0184
5 F 0.1308 0.4902 0.5733
6 F 0.4267 0.8692 0.5098
7 F 0.4902 0.5733 0.1308
8 F 0.5733 0.1308 0.4902
9 F 0.5098 0.4267 0.8692
10 F 0.9816 0.2513 0.0627
11 F 0.8692 0.5098 0.4267
12 F 0.2513 0.0627 0.9816
13 Rb 0.8391 0.3920 0.7533
14 Rb 0.6080 0.2467 0.1609
15 Rb 0.3920 0.7533 0.8391
16 Rb 0.2467 0.1609 0.6080
17 Rb 0.7533 0.8391 0.3920
18 Rb 0.1609 0.6080 0.2467
19 Cu 0.0000 0.0000 0.0000

## Properties
The formation energy from raw total energies is -39.1 eV/f.u. The electronic total energy comes out at -71.437 eV per cell. The volume comes out at 414.22 Å³ per cell.

=====

This record from the Alexandria database describes a relaxed structure of Tb2OsI. The functional is PBE.

Lattice parameters (Å, degrees): 4.1036 4.1036 8.2511 75.60 75.60 60.00
Positions (direct):
1 Tb 0.2725 0.2725 0.1826
2 Tb 0.7275 0.7275 0.8174
3 Os 0.0000 0.0000 0.0000
4 I 0.5000 0.5000 0.5000

## Properties
The formation energy from raw total energies is -1.9 eV/f.u. The value obtained for the energy relative to the lowest polymorph listed for this composition is 0.00 eV per formula unit. The electronic total energy comes out at -23.980 eV per cell. The volume comes out at 115.26 Å³ per cell.

=====

This record from the Alexandria database describes a relaxed structure of K3Sc5Cl12. The functional is PBE.

Lattice parameters (Å, degrees): 14.4935 14.4935 14.4935 109.47 109.47 109.47
Positions (direct):
1 Cl 0.6150 0.5949 0.9187
2 Cl 0.6761 0.1962 0.5813
3 Cl 0.8239 0.9187 0.3038
4 Cl 0.4187 0.1150 0.5949
5 Cl 0.9187 0.0949 0.6150
6 Cl 0.9051 0.8239 0.5201
7 Cl 0.5201 0.3239 0.9051
8 Cl 0.0949 0.9187 0.1150
9 Cl 0.8038 0.3239 0.9187
10 Cl 0.1761 0.0813 0.6962
11 Cl 0.5949 0.9799 0.6761
12 Cl 0.8038 0.4799 0.3850
13 Cl 0.6962 0.5813 0.1761
14 Cl 0.1150 0.4187 0.0949
15 Cl 0.8850 0.5813 0.9051
16 Cl 0.3239 0.8038 0.4187
17 Cl 0.5201 0.1962 0.1150
18 Cl 0.4799 0.8038 0.8850
19 Cl 0.6962 0.1150 0.0201
20 Cl 0.8850 0.3038 0.4799
21 Cl 0.9799 0.3850 0.3038
22 Cl 0.0949 0.1761 0.4799
23 Cl 0.3239 0.5201 0.4051
24 Cl 0.0813 0.9051 0.3850
25 Cl 0.4051 0.0201 0.3239
26 Cl 0.8239 0.9051 0.0201
27 Cl 0.0813 0.1761 0.1962
28 Cl 0.3850 0.9799 0.8038
29 Cl 0.9187 0.8239 0.8038
30 Cl 0.5813 0.6962 0.6761
31 Cl 0.1150 0.6962 0.5201
32 Cl 0.4051 0.3850 0.5813
33 Cl 0.9799 0.5949 0.1761
34 Cl 0.1761 0.0949 0.9799
35 Cl 0.1962 0.5201 0.6150
36 Cl 0.9051 0.0813 0.8850
37 Cl 0.3038 0.8850 0.9799
38 Cl 0.3850 0.4051 0.0813
39 Cl 0.0201 0.6150 0.6962
40 Cl 0.3038 0.4187 0.8239
41 Cl 0.4799 0.6761 0.0949
42 Cl 0.5949 0.6150 0.4187
43 Cl 0.0201 0.4051 0.8239
44 Cl 0.5813 0.8850 0.4051
45 Cl 0.4187 0.3038 0.3239
46 Cl 0.6761 0.4799 0.5949
47 Cl 0.1962 0.6761 0.0813
48 Cl 0.6150 0.0201 0.1962
49 K 0.2500 0.1250 0.3750
50 K 0.8750 0.1250 0.2500
51 K 0.3750 0.7500 0.6250
52 K 0.7500 0.3750 0.1250
53 K 0.1250 0.2500 0.8750
54 K 0.2500 0.6250 0.8750
55 K 0.8750 0.7500 0.1250
56 K 0.6250 0.2500 0.3750
57 K 0.7500 0.8750 0.6250
58 K 0.1250 0.8750 0.7500
59 K 0.6250 0.3750 0.7500
60 K 0.3750 0.6250 0.2500
61 Sc 0.8750 0.6250 0.7500
62 Sc 0.3750 0.1250 0.7500
63 Sc 0.6250 0.7500 0.8750
64 Sc 0.1250 0.7500 0.3750
65 Sc 0.5000 0.5000 0.0000
66 Sc 0.7500 0.1250 0.8750
67 Sc 0.5000 0.0000 0.0000
68 Sc 0.7500 0.6250 0.3750
69 Sc 0.0000 0.0000 0.5000
70 Sc 0.0000 0.5000 0.5000
71 Sc 0.5000 0.5000 0.5000
72 Sc 0.3750 0.2500 0.1250
73 Sc 0.2500 0.8750 0.1250
74 Sc 0.6250 0.8750 0.2500
75 Sc 0.2500 0.3750 0.6250
76 Sc 0.0000 0.0000 0.0000
77 Sc 0.1250 0.3750 0.2500
78 Sc 0.0000 0.5000 0.0000
79 Sc 0.8750 0.2500 0.6250
80 Sc 0.5000 0.0000 0.5000

## Properties
The formation energy from raw total energies is -33.1 eV/f.u. The electronic total energy comes out at -360.721 eV per cell. The volume comes out at 2343.67 Å³ per cell.

=====

This record from the Alexandria database describes a relaxed structure of Nd2Er5Th. The functional is PBE.

Lattice parameters (Å, degrees): 5.0611 7.0976 14.2322 90.00 90.00 90.00
Positions (direct):
1 Er 0.0000 0.0000 0.0000
2 Er 0.5000 0.7396 0.1228
3 Er 0.0000 0.5079 0.7513
4 Er 0.0000 0.5000 0.5000
5 Er 0.0000 0.9921 0.2513
6 Er 0.0000 0.4921 0.2487
7 Er 0.5000 0.2604 0.8772
8 Er 0.5000 0.7604 0.6228
9 Er 0.5000 0.2396 0.3772
10 Er 0.0000 0.0079 0.7487
11 Nd 0.5000 0.7497 0.3763
12 Nd 0.5000 0.2503 0.6237
13 Nd 0.5000 0.2497 0.1237
14 Nd 0.5000 0.7503 0.8763
15 Th 0.0000 0.0000 0.5000
16 Th 0.0000 0.5000 0.0000

## Properties
The electronic total energy comes out at -79.067 eV per cell. As for the formation energy: 0.030 eV/atom. The volume comes out at 511.24 Å³ per cell.

=====

This record from the Alexandria database describes a relaxed structure of Th3In4Hg2. The functional is PBE.

Lattice parameters (Å, degrees): 5.0046 6.2236 9.4351 113.90 90.00 113.71
Positions (direct):
1 In 0.7093 0.4185 0.0447
2 In 0.0488 0.0975 0.3793
3 In 0.9512 0.9025 0.6207
4 In 0.2907 0.5815 0.9553
5 Th 0.6644 0.3288 0.6676
6 Th 0.3356 0.6712 0.3324
7 Th 0.0000 0.0000 0.0000
8 Hg 0.6388 0.2776 0.3048
9 Hg 0.3612 0.7224 0.6952

## Properties
The value obtained for the energy relative to the lowest polymorph listed for this composition is 0.00 eV per formula unit. The electronic total energy comes out at -36.351 eV per cell. As for the formation energy: -0.282 eV/atom. The volume comes out at 241.29 Å³ per cell.

=====

This record from the Alexandria database describes a relaxed structure of Ta4Nb4W. The functional is PBE.

Lattice parameters (Å, degrees): 3.2922 7.1905 7.1905 87.00 76.77 76.77
Positions (direct):
1 W 0.5000 0.5000 0.0000
2 Nb 0.5000 0.8339 0.6661
3 Nb 0.1661 0.8339 0.3339
4 Nb 0.5000 0.1661 0.3339
5 Nb 0.8339 0.1661 0.6661
6 Ta 0.1628 0.1744 0.0000
7 Ta 0.8372 0.8256 0.0000
8 Ta 0.1628 0.5000 0.6744
9 Ta 0.8372 0.5000 0.3256

## Properties
The electronic total energy comes out at -101.008 eV per cell. As for the formation energy: -0.041 eV/atom. The volume comes out at 161.30 Å³ per cell.

=====

This record from the Alexandria database describes a relaxed structure of Nd2TaNbN6. The functional is PBE.

Lattice parameters (Å, degrees): 5.6986 5.8075 8.1054 90.00 90.03 90.00
Positions (direct):
1 N 0.0845 0.4790 0.7490
2 N 0.7890 0.7856 0.5454
3 N 0.2890 0.7144 0.0454
4 N 0.2110 0.2144 0.4546
5 N 0.7130 0.2878 0.5451
6 N 0.5845 0.0210 0.2490
7 N 0.2870 0.7122 0.4549
8 N 0.2130 0.2122 0.0451
9 N 0.7870 0.7878 0.9549
10 N 0.9155 0.5210 0.2510
11 N 0.4155 0.9790 0.7510
12 N 0.7110 0.2856 0.9546
13 Ta 0.5000 0.0000 0.0000
14 Ta 0.0000 0.5000 0.5000
15 Nd 0.0107 0.9537 0.2499
16 Nd 0.5107 0.5463 0.7499
17 Nd 0.9893 0.0463 0.7501
18 Nd 0.4893 0.4537 0.2501
19 Nb 0.5000 0.0000 0.5000
20 Nb 0.0000 0.5000 0.0000

## Properties
The formation energy from raw total energies is -9.4 eV/f.u. The electronic total energy comes out at -181.529 eV per cell. The volume comes out at 268.24 Å³ per cell.

=====

This record from the Alexandria database describes a relaxed structure of CoReNi2. The functional is PBE.

Lattice parameters (Å, degrees): 2.6583 4.2210 4.2801 90.00 90.00 90.00
Positions (direct):
1 Ni 0.5000 0.5000 0.0000
2 Ni 0.0000 0.0000 0.0000
3 Re 0.5000 0.0000 0.5000
4 Co 0.0000 0.5000 0.5000

## Properties
The value obtained for the energy relative to the lowest polymorph listed for this composition is 0.88 eV per formula unit. The electronic total energy comes out at -30.204 eV per cell. As for the formation energy: 0.228 eV/atom. The volume comes out at 48.03 Å³ per cell.

=====

This record from the Alexandria database describes a relaxed structure of SiHgCl2. The functional is PBE.

Lattice parameters (Å, degrees): 6.4600 6.4600 3.1820 59.98 59.98 75.52
Positions (direct):
1 Si 0.0000 0.5000 0.5000
2 Cl 0.0000 0.0000 0.0000
3 Cl 0.5000 0.5000 0.0000
4 Hg 0.5000 0.0000 0.5000

## Properties
The formation energy from raw total energies is 0.2 eV/f.u. The value obtained for the energy relative to the lowest polymorph listed for this composition is 1.88 eV per formula unit. The electronic total energy comes out at -9.181 eV per cell. The volume comes out at 99.55 Å³ per cell.